1.
Here is a PBEsol-optimized structure of CaMnSb2 from Alexandria. Energies are from meta-GGA SCAN.

a b c (Å): 4.3058 4.3058 10.2325
angles (deg): 90.00 90.00 90.00
Closest atoms and distances in Å follow each position.
Sites, in units of the cell vectors:
Mn (0.0000, 0.0000, 0.0000)  4 Sb 2.64
Mn (0.5000, 0.5000, 0.0000)  4 Sb 2.64
Ca (0.0000, 0.5000, 0.2582)  8 Sb 3.24-3.28, 4 Mn 3.41
Ca (0.5000, 0.0000, 0.7418)  8 Sb 3.24-3.28, 4 Mn 3.41
Sb (0.5000, 0.0000, 0.1498)  4 Mn 2.64
Sb (0.5000, 0.5000, 0.5000)  4 Sb 3.04, 4 Ca 3.28
Sb (0.0000, 0.5000, 0.8502)  4 Mn 2.64
Sb (0.0000, 0.0000, 0.5000)  4 Sb 3.04, 4 Ca 3.28

space group: P4/nmm, No. 129

***

2.
Here is a PBEsol-optimized structure of CaMnSb from Alexandria. Energies are from meta-GGA SCAN.

a b c (Å): 4.2022 4.5061 4.5061
angles (deg): 120.00 90.00 90.00
Closest atoms and distances in Å follow each position.
Sites, in units of the cell vectors:
Sb (0.5000, 0.3333, 0.6667)  3 Mn 2.60
Ca (0.0000, 0.0000, 0.0000)  6 Mn 3.34, 6 Sb 3.34
Mn (0.5000, 0.6667, 0.3333)  3 Sb 2.60

space group: P-6m2, No. 187

***

3.
Here is a PBEsol-optimized structure of CaMnSb2 from Alexandria. Energies are from meta-GGA SCAN.

a b c (Å): 4.0822 4.7776 4.7776
angles (deg): 90.00 90.00 90.00
Closest atoms and distances in Å follow each position.
Sites, in units of the cell vectors:
Mn (0.5000, 0.0000, 0.0000)  8 Sb 3.14, 4 Ca 3.38
Ca (0.5000, 0.5000, 0.5000)  8 Sb 3.14, 4 Mn 3.38
Sb (0.0000, 0.5000, 0.0000)  4 Mn 3.14, 4 Ca 3.14, 4 Sb 3.38
Sb (0.0000, 0.0000, 0.5000)  4 Ca 3.14, 4 Mn 3.14, 4 Sb 3.38

space group: P4/mmm, No. 123

***

We obtain uncorrected formation energy values of -583 -577 -389 meV per atom for the records listed above, in that order.